VASP calculation (PBE+U) on Cs2MgCr2H12O14 after structural relaxation. Values from VASP.

The value obtained for the calculated total energy is -340.113 eV/cell. Its density of states at the Fermi level is 0.000 states/eV/atom. The magnetization comes out at 0.31 μB/f.u.

```
&SYSTEM
  ibrav = 0, nat = 62, ntyp = 5
/
ATOMIC_SPECIES
Cs 132.91 Cs.upf
Mg 24.30 Mg.upf
Cr 52.00 Cr.upf
H 1.01 H.upf
O 16.00 O.upf
ATOMIC_POSITIONS angstrom
Cs 0.074 1.901 3.519
Cs -1.196 4.626 8.160
Cs 5.135 8.429 1.122
Cs 3.864 11.153 5.763
Mg 3.240 0.000 0.000
Mg 1.969 6.527 4.641
Cr -0.706 8.459 8.283
Cr 0.565 11.122 3.643
Cr 3.373 1.932 5.639
Cr 4.644 4.595 0.998
H -0.463 7.291 5.589
H 0.808 12.291 0.948
H -0.068 8.276 4.419
H -1.339 11.305 9.060
H -0.869 1.221 7.425
H 0.401 5.306 2.784
H 0.644 1.733 7.168
H 1.915 4.794 2.527
H 2.153 7.718 2.125
H 0.883 11.864 6.766
H 2.307 8.875 3.197
H 1.037 10.707 7.838
H 2.902 2.347 1.444
H 1.631 4.180 6.085
H 3.056 1.190 2.516
H 1.785 5.337 7.157
H 2.024 8.260 6.755
H 3.294 11.322 2.114
H 3.537 7.748 6.497
H 4.808 11.833 1.856
H 5.277 1.749 0.222
H 4.007 4.778 4.863
H 3.131 0.764 8.334
H 4.401 5.763 3.693
O -1.719 9.762 8.461
O -0.448 9.820 3.820
O -1.323 7.482 7.071
O -0.052 12.099 2.430
O 0.091 7.358 4.766
O 1.362 12.224 0.125
O 1.859 7.588 0.421
O 0.589 11.993 5.062
O 0.007 1.415 7.860
O 1.278 5.112 3.219
O 0.838 8.983 7.895
O 2.108 10.598 3.254
O 2.784 1.365 1.574
O 1.513 5.162 6.215
O 2.425 7.892 3.067
O 1.155 11.689 7.708
O 1.830 2.456 6.028
O 3.101 4.071 1.387
O 2.661 7.942 6.063
O 3.932 11.639 1.422
O 3.350 1.061 4.220
O 2.079 5.466 8.861
O 2.576 0.831 9.157
O 3.847 5.697 4.516
O 3.991 0.955 6.852
O 5.261 5.572 2.211
O 4.387 3.235 5.462
O 5.657 3.292 0.821
CELL_PARAMETERS angstrom
6.480 0.000 0.000
0.000 13.054 0.000
-2.541 0.000 9.282
```